Entry from Alexandria: a relaxed CaInFe2Br8 crystal (GGA-PBE).

Computed properties:
Total magnetic moment: 9.000 μB per formula unit
Space-group type: P-3
E_tot: -3.78 eV/atom

Structure (CIF):
```
data_CaInFe2Br8
_space_group_name_H-M_alt 'P 1'
_space_group_IT_number 1
_cell_length_a 6.8933
_cell_length_b 6.8933
_cell_length_c 9.9808
_cell_angle_alpha 90.00
_cell_angle_beta 90.00
_cell_angle_gamma 120.00
loop_
_space_group_symop_operation_xyz
'x,y,z'
loop_
_atom_site_label
_atom_site_type_symbol
_atom_site_fract_x
_atom_site_fract_y
_atom_site_fract_z
Ca1 Ca 0.0000 0.0000 0.0000
In1 In 0.0000 0.0000 0.5000
Fe1 Fe 0.3333 0.6667 0.2535
Fe2 Fe 0.6667 0.3333 0.7465
Br1 Br 0.0006 0.3306 0.1825
Br2 Br 0.3299 0.9994 0.1825
Br3 Br 0.3306 0.3299 0.8175
Br4 Br 0.3333 0.6667 0.4890
Br5 Br 0.6667 0.3333 0.5110
Br6 Br 0.6694 0.6701 0.1825
Br7 Br 0.6701 0.0006 0.8175
Br8 Br 0.9994 0.6694 0.8175
```

***

Entry from Alexandria: a relaxed K2CaFeBr6 crystal (GGA-PBE).

Computed properties:
Total magnetic moment: 4.000 μB per formula unit
Space-group type: P2_1/c
E_tot: -3.67 eV/atom

Structure (CIF):
```
data_K2CaFeBr6
_space_group_name_H-M_alt 'P 1'
_space_group_IT_number 1
_cell_length_a 7.5205
_cell_length_b 7.7665
_cell_length_c 13.1055
_cell_angle_alpha 90.00
_cell_angle_beta 124.77
_cell_angle_gamma 90.00
loop_
_space_group_symop_operation_xyz
'x,y,z'
loop_
_atom_site_label
_atom_site_type_symbol
_atom_site_fract_x
_atom_site_fract_y
_atom_site_fract_z
K1 K 0.2278 0.0665 0.2481
K2 K 0.2278 0.4335 0.7481
K3 K 0.7722 0.5665 0.2519
K4 K 0.7722 0.9335 0.7519
Ca1 Ca 0.5000 0.0000 0.0000
Ca2 Ca 0.5000 0.5000 0.5000
Fe1 Fe 0.0000 0.0000 0.5000
Fe2 Fe 0.0000 0.5000 0.0000
Br1 Br 0.1448 0.2146 0.9558
Br2 Br 0.1448 0.2854 0.4558
Br3 Br 0.2444 0.6912 0.9568
Br4 Br 0.2444 0.8088 0.4568
Br5 Br 0.3240 0.0164 0.7375
Br6 Br 0.3240 0.4836 0.2375
Br7 Br 0.6760 0.5164 0.7625
Br8 Br 0.6760 0.9836 0.2625
Br9 Br 0.7556 0.1912 0.5432
Br10 Br 0.7556 0.3088 0.0432
Br11 Br 0.8552 0.7146 0.5442
Br12 Br 0.8552 0.7854 0.0442
```

***

Entry from Alexandria: a relaxed KCaFe2Br8 crystal (GGA-PBE).

Computed properties:
Total magnetic moment: 9.000 μB per formula unit
Space-group type: P-3
E_tot: -3.84 eV/atom

Structure (CIF):
```
data_KCaFe2Br8
_space_group_name_H-M_alt 'P 1'
_space_group_IT_number 1
_cell_length_a 6.9238
_cell_length_b 6.9238
_cell_length_c 10.0847
_cell_angle_alpha 90.00
_cell_angle_beta 90.00
_cell_angle_gamma 120.00
loop_
_space_group_symop_operation_xyz
'x,y,z'
loop_
_atom_site_label
_atom_site_type_symbol
_atom_site_fract_x
_atom_site_fract_y
_atom_site_fract_z
K1 K 0.0000 0.0000 0.0000
Ca1 Ca 0.0000 0.0000 0.5000
Fe1 Fe 0.3333 0.6667 0.7510
Fe2 Fe 0.6667 0.3333 0.2490
Br1 Br 0.0025 0.3320 0.6796
Br2 Br 0.3295 0.9975 0.6796
Br3 Br 0.3320 0.3295 0.3204
Br4 Br 0.3333 0.6667 0.9843
Br5 Br 0.6667 0.3333 0.0157
Br6 Br 0.6680 0.6705 0.6796
Br7 Br 0.6705 0.0025 0.3204
Br8 Br 0.9975 0.6680 0.3204
```

***

Entry from Alexandria: a relaxed KCa2FeBr8 crystal (GGA-PBE).

Computed properties:
Total magnetic moment: 4.896 μB per formula unit
Space-group type: P2/m
E_tot: -3.63 eV/atom

Structure (CIF):
```
data_KCa2FeBr8
_space_group_name_H-M_alt 'P 1'
_space_group_IT_number 1
_cell_length_a 6.5459
_cell_length_b 8.8449
_cell_length_c 6.9198
_cell_angle_alpha 90.00
_cell_angle_beta 91.47
_cell_angle_gamma 90.00
loop_
_space_group_symop_operation_xyz
'x,y,z'
loop_
_atom_site_label
_atom_site_type_symbol
_atom_site_fract_x
_atom_site_fract_y
_atom_site_fract_z
K1 K 0.0000 0.0000 0.0000
Ca1 Ca 0.5000 0.2560 0.5000
Ca2 Ca 0.5000 0.7440 0.5000
Fe1 Fe 0.0000 0.5000 0.0000
Br1 Br 0.2236 0.3005 0.1534
Br2 Br 0.2236 0.6995 0.1534
Br3 Br 0.2509 0.5000 0.6772
Br4 Br 0.2769 0.0000 0.6405
Br5 Br 0.7231 0.0000 0.3595
Br6 Br 0.7491 0.5000 0.3228
Br7 Br 0.7764 0.3005 0.8466
Br8 Br 0.7764 0.6995 0.8466
```

***

Entry from Alexandria: a relaxed KCaFeBr5 crystal (GGA-PBE).

Computed properties:
Total magnetic moment: 4.000 μB per formula unit
Space-group type: C2/c
E_tot: -3.83 eV/atom

Structure (CIF):
```
data_KCaFeBr5
_space_group_name_H-M_alt 'P 1'
_space_group_IT_number 1
_cell_length_a 7.8775
_cell_length_b 7.8775
_cell_length_c 10.3962
_cell_angle_alpha 103.93
_cell_angle_beta 103.93
_cell_angle_gamma 105.61
loop_
_space_group_symop_operation_xyz
'x,y,z'
loop_
_atom_site_label
_atom_site_type_symbol
_atom_site_fract_x
_atom_site_fract_y
_atom_site_fract_z
K1 K 0.1533 0.8467 0.7500
K2 K 0.8467 0.1533 0.2500
Ca1 Ca 0.5000 0.5000 0.0000
Ca2 Ca 0.5000 0.5000 0.5000
Fe1 Fe 0.1823 0.8177 0.2500
Fe2 Fe 0.8177 0.1823 0.7500
Br1 Br 0.1111 0.2425 0.9330
Br2 Br 0.1696 0.5879 0.3730
Br3 Br 0.2425 0.1111 0.4330
Br4 Br 0.4119 0.5881 0.7500
Br5 Br 0.4121 0.8304 0.1270
Br6 Br 0.5879 0.1696 0.8730
Br7 Br 0.5881 0.4119 0.2500
Br8 Br 0.7575 0.8889 0.5670
Br9 Br 0.8304 0.4121 0.6270
Br10 Br 0.8889 0.7575 0.0670
```